Run a
3
Lattice="0.0000 3.5004 3.5004 3.5004 0.0000 3.5004 3.5004 3.5004 0.0000" Properties=species:S:1:pos:R:3 comment="PrBeIn | OQMD via LeMat-Bulk | PBE | relaxed" space_group="F-43m, No. 216" pbc="T T T"
Be 1.7502 1.7502 1.7502
In 5.2507 5.2507 5.2507
Pr 0.0000 0.0000 0.0000


Run b
3
Lattice="1.1328 -4.6718 -0.4995 -3.4949 -3.3367 -0.0993 -1.0219 -2.3070 -4.1221" Properties=species:S:1:pos:R:3 comment="PrBeIn | OQMD via LeMat-Bulk | PBE | relaxed" space_group="F-43m, No. 216" pbc="T T T"
Be -0.8460 -2.5789 -1.1802
In 0.0000 0.0000 0.0000
Pr -2.5380 -7.7367 -3.5407


Run c
3
Lattice="0.0000 3.2909 3.2909 3.2909 0.0000 3.2909 3.2909 3.2909 0.0000" Properties=species:S:1:pos:R:3 comment="PrBeIn | OQMD via LeMat-Bulk | PBE | relaxed" space_group="F-43m, No. 216" pbc="T T T"
Be 0.0000 0.0000 0.0000
In 1.6454 1.6454 1.6454
Pr 4.9363 4.9363 4.9363


Most stable pick: run c. Distance to second place: 38.5 kJ/mol of atoms.